[1]
Na5CuH2O4 | PBE | relaxed

Results
**SG**: Pnma
**Final energy**: -52.03 eV per formula unit
**V**: 653.9 Å³/cell

Cell and atoms, written as POSCAR:
```
Na5CuH2O4
1.0
6.093 0.000 0.000
0.000 8.894 0.000
0.000 0.000 12.065
O Na H Cu
16 20 8 4
direct
0.697 0.250 0.411
0.134 0.454 0.327
0.634 0.046 0.173
0.866 0.546 0.673
0.134 0.046 0.327
0.366 0.954 0.827
0.772 0.250 0.879
0.728 0.750 0.379
0.866 0.954 0.673
0.272 0.250 0.621
0.803 0.750 0.911
0.634 0.454 0.173
0.228 0.750 0.121
0.303 0.750 0.589
0.197 0.250 0.089
0.366 0.546 0.827
0.753 0.505 0.860
0.747 0.005 0.360
0.247 0.005 0.140
0.431 0.250 0.794
0.917 0.250 0.227
0.583 0.750 0.727
0.083 0.750 0.773
0.556 0.250 0.042
0.253 0.505 0.640
0.753 0.995 0.860
0.056 0.250 0.458
0.747 0.495 0.360
0.931 0.250 0.706
0.247 0.495 0.140
0.069 0.750 0.294
0.417 0.250 0.273
0.253 0.995 0.640
0.944 0.750 0.542
0.569 0.750 0.206
0.444 0.750 0.958
0.241 0.497 0.378
0.759 0.997 0.622
0.759 0.503 0.622
0.741 0.003 0.122
0.241 0.003 0.378
0.259 0.503 0.878
0.741 0.497 0.122
0.259 0.997 0.878
0.505 0.250 0.525
0.005 0.250 0.975
0.995 0.750 0.025
0.495 0.750 0.475
```

***

[2]
Na2CuH4O4 | PBE | relaxed

Results
**SG**: Pna2_1
**Final energy**: -52.28 eV per formula unit
**V**: 416.8 Å³/cell

Cell and atoms, written as POSCAR:
```
Na2CuH4O4
1.0
6.755 0.000 0.000
0.000 6.785 0.000
0.000 0.000 9.093
O H Na Cu
16 16 8 4
direct
0.479 0.205 0.720
0.521 0.795 0.220
0.979 0.295 0.220
0.021 0.705 0.720
0.783 0.534 0.506
0.189 0.944 0.495
0.311 0.444 0.495
0.979 0.732 0.277
0.811 0.056 0.995
0.217 0.466 0.006
0.479 0.768 0.777
0.689 0.556 0.995
0.283 0.966 0.006
0.521 0.232 0.277
0.021 0.268 0.777
0.717 0.034 0.506
0.243 0.997 0.905
0.743 0.503 0.405
0.837 0.269 0.237
0.757 0.003 0.405
0.959 0.590 0.257
0.041 0.410 0.757
0.212 0.983 0.597
0.712 0.517 0.097
0.541 0.090 0.257
0.337 0.231 0.737
0.288 0.483 0.597
0.663 0.769 0.237
0.788 0.017 0.097
0.459 0.910 0.757
0.257 0.497 0.905
0.163 0.731 0.737
0.006 0.258 0.499
0.494 0.758 0.499
0.203 0.001 0.248
0.703 0.499 0.748
0.506 0.242 0.999
0.797 0.999 0.748
0.297 0.501 0.248
0.994 0.742 0.999
0.994 0.731 0.499
0.494 0.769 0.999
0.006 0.269 0.999
0.506 0.231 0.499
```

***

[3]
Na2CuHO | PBE | relaxed

Results
**SG**: P4/mmm
**N(E_F)**: 0.00 states/eV/atom
**Final energy**: -17.67 eV per formula unit
**V**: 79.5 Å³/cell

Cell and atoms, written as POSCAR:
```
Na2CuHO
1.0
-0.658 1.454 -4.394
-0.338 -3.453 -1.092
-4.608 0.211 0.760
H O Na Cu
1 1 2 1
direct
0.500 0.500 0.500
0.000 0.000 0.000
0.000 0.000 0.500
0.500 0.000 0.000
0.000 0.500 0.000
```

***

[4]
Na4CuP6H8O22 | PBE | relaxed

Results
**SG**: P-1
**Final energy**: -250.63 eV per formula unit
**V**: 470.7 Å³/cell

Cell and atoms, written as POSCAR:
```
Na4CuP6H8O22
1.0
7.171 0.016 -0.081
1.134 7.914 -0.163
1.683 0.457 8.268
O P H Cu Na
22 6 8 1 4
direct
0.568 0.027 0.812
0.457 0.677 0.075
0.814 0.801 0.669
0.925 0.057 0.786
0.768 0.093 0.540
0.186 0.199 0.331
0.993 0.487 0.824
0.240 0.198 0.894
0.835 0.210 0.079
0.778 0.410 0.557
0.075 0.943 0.214
0.165 0.790 0.921
0.463 0.284 0.646
0.232 0.907 0.460
0.607 0.293 0.350
0.543 0.323 0.925
0.760 0.802 0.106
0.432 0.973 0.188
0.393 0.707 0.650
0.222 0.590 0.443
0.537 0.716 0.354
0.007 0.513 0.176
0.338 0.716 0.487
0.662 0.284 0.513
0.217 0.017 0.294
0.783 0.983 0.706
0.446 0.215 0.834
0.554 0.785 0.166
0.044 0.590 0.843
0.738 0.248 0.008
0.956 0.410 0.157
0.262 0.752 0.992
0.243 0.786 0.808
0.062 0.395 0.883
0.938 0.605 0.117
0.757 0.214 0.192
0.000 0.000 0.000
0.110 0.329 0.585
0.890 0.671 0.415
0.344 0.422 0.201
0.656 0.578 0.799
```

***

[5]
NaCu2H3S2O10 | PBE | relaxed

Results
**SG**: Cm
**Final energy**: -98.79 eV per formula unit
**V**: 186.7 Å³/cell

Cell and atoms, written as POSCAR:
```
NaCu2H3S2O10
1.0
0.008 -4.450 3.217
3.531 -3.743 -1.918
6.364 -0.939 4.237
S H Cu O Na
2 3 2 10 1
direct
0.091 0.091 0.692
0.910 0.910 0.306
0.483 0.483 0.009
0.712 0.712 0.779
0.285 0.285 0.226
0.503 0.996 0.999
0.996 0.503 0.999
0.341 0.341 0.074
0.656 0.656 0.930
0.220 0.826 0.251
0.788 0.788 0.525
0.814 0.814 0.197
0.781 0.175 0.748
0.213 0.213 0.474
0.175 0.781 0.748
0.826 0.220 0.251
0.189 0.189 0.800
0.501 0.501 0.499
```

***

[6]
Na2CuH12S2O14 | PBE | relaxed

Results
**SG**: P2_1/c
**Final energy**: -162.88 eV per formula unit
**V**: 627.5 Å³/cell

Cell and atoms, written as POSCAR:
```
Na2CuH12S2O14
1.0
-10.067 -6.100 3.851
3.411 -3.610 3.199
0.655 3.926 7.932
H O S Cu Na
24 28 4 2 4
direct
0.579 0.832 0.784
0.921 0.832 0.284
0.389 0.407 0.259
0.079 0.168 0.716
0.611 0.593 0.741
0.706 0.550 0.146
0.111 0.407 0.759
0.934 0.167 0.396
0.871 0.425 0.781
0.794 0.550 0.646
0.356 0.820 0.957
0.144 0.820 0.457
0.129 0.575 0.219
0.206 0.450 0.354
0.434 0.833 0.104
0.566 0.167 0.896
0.371 0.575 0.719
0.421 0.168 0.216
0.066 0.833 0.604
0.889 0.593 0.241
0.629 0.425 0.281
0.294 0.450 0.854
0.856 0.180 0.543
0.644 0.180 0.043
0.942 0.128 0.212
0.386 0.811 0.558
0.748 0.111 0.650
0.136 0.431 0.306
0.614 0.189 0.442
0.900 0.666 0.329
0.347 0.512 0.419
0.442 0.872 0.288
0.847 0.488 0.081
0.653 0.488 0.581
0.153 0.512 0.919
0.932 0.200 0.501
0.100 0.334 0.671
0.752 0.111 0.150
0.600 0.666 0.829
0.114 0.811 0.058
0.636 0.569 0.194
0.432 0.800 0.999
0.864 0.569 0.694
0.068 0.800 0.499
0.558 0.128 0.712
0.252 0.889 0.350
0.400 0.334 0.171
0.364 0.431 0.806
0.248 0.889 0.850
0.886 0.189 0.942
0.058 0.872 0.788
0.568 0.200 0.001
0.144 0.770 0.906
0.356 0.770 0.406
0.644 0.230 0.594
0.856 0.230 0.094
0.500 0.500 0.000
0.000 0.500 0.500
0.636 0.848 0.345
0.136 0.152 0.155
0.364 0.152 0.655
0.864 0.848 0.845
```

***

[7]
NaCu2H2Se2O10 | PBE | relaxed

Results
**SG**: C2/m
**N(E_F)**: 0.19 states/eV/atom
**Final energy**: -86.10 eV per formula unit
**V**: 205.0 Å³/cell

Cell and atoms, written as POSCAR:
```
NaCu2H2Se2O10
1.0
-3.687 3.435 2.835
-5.311 -2.250 0.413
-2.370 -2.393 7.203
O Cu H Na Se
10 2 2 1 2
direct
0.254 0.817 0.251
0.183 0.183 0.813
0.817 0.254 0.251
0.183 0.746 0.749
0.774 0.774 0.551
0.817 0.817 0.187
0.226 0.226 0.449
0.746 0.183 0.749
0.675 0.675 0.948
0.325 0.325 0.052
0.500 0.000 0.000
0.000 0.500 0.000
0.283 0.283 0.197
0.717 0.717 0.803
0.500 0.500 0.500
0.086 0.086 0.692
0.914 0.914 0.308
```

***

[8]
Na2Cu2Si4H4O13 | PBE | relaxed

Results
**SG**: P-1
**N(E_F)**: 0.03 states/eV/atom
**Final energy**: -157.51 eV per formula unit
**V**: 285.0 Å³/cell

Cell and atoms, written as POSCAR:
```
Na2Cu2Si4H4O13
1.0
-1.804 4.873 -0.779
-4.598 -2.653 3.711
6.027 2.563 5.961
O Si Cu H Na
13 4 2 4 2
direct
0.192 0.718 0.263
0.500 0.000 0.500
0.116 0.303 0.406
0.227 0.584 0.909
0.110 0.172 0.956
0.773 0.416 0.091
0.890 0.828 0.044
0.535 0.069 0.210
0.808 0.282 0.737
0.700 0.742 0.302
0.465 0.931 0.790
0.300 0.258 0.698
0.884 0.697 0.594
0.103 0.330 0.833
0.519 0.107 0.686
0.481 0.893 0.314
0.897 0.670 0.167
0.810 0.121 0.078
0.190 0.879 0.922
0.173 0.271 0.505
0.827 0.729 0.495
0.066 0.689 0.588
0.934 0.311 0.412
0.631 0.631 0.796
0.369 0.369 0.204
```

***

[9]
NaCuH3Pd | PBE | relaxed

Results
**SG**: P2_1/m
**N(E_F)**: 0.06 states/eV/atom
**Final energy**: -21.25 eV per formula unit
**V**: 135.9 Å³/cell

Cell and atoms, written as POSCAR:
```
NaCuH3Pd
1.0
2.907 0.000 0.000
0.000 6.011 0.407
0.000 -1.988 7.645
Na H Cu Pd
2 6 2 2
direct
0.250 0.219 0.227
0.750 0.781 0.773
0.750 0.870 0.170
0.750 0.486 0.113
0.250 0.514 0.887
0.250 0.130 0.830
0.250 0.823 0.517
0.750 0.177 0.483
0.750 0.866 0.398
0.250 0.134 0.602
0.750 0.322 0.882
0.250 0.678 0.118
```

***

[10]
Na2CuH4Pd | PBE | relaxed

Results
**SG**: I-42m
**N(E_F)**: 0.56 states/eV/atom
**Final energy**: -25.34 eV per formula unit
**V**: 93.3 Å³/cell

Cell and atoms, written as POSCAR:
```
Na2CuH4Pd
1.0
-0.122 -2.579 4.593
-3.666 -3.141 1.162
2.108 -4.458 0.575
H Na Pd Cu
4 2 1 1
direct
0.900 0.000 0.719
0.100 0.281 0.000
0.620 0.000 0.281
0.380 0.719 0.000
0.000 0.500 0.500
0.500 0.500 0.500
0.500 0.000 0.000
0.000 0.000 0.000
```

***

[11]
Na2CuHPd | PBE | relaxed

Results
**SG**: P4/mmm
**N(E_F)**: 0.07 states/eV/atom
**Final energy**: -15.13 eV per formula unit
**V**: 83.5 Å³/cell

Cell and atoms, written as POSCAR:
```
Na2CuHPd
1.0
4.901 0.000 0.000
0.000 4.901 0.000
0.000 0.000 3.476
Pd H Na Cu
1 1 2 1
direct
0.000 0.000 0.500
0.000 0.000 0.000
0.000 0.500 0.000
0.500 0.000 0.000
0.500 0.500 0.500
```

***

[12]
Na2CuH6Pt | PBE | relaxed

Results
**SG**: P-3m1
**N(E_F)**: 0.20 states/eV/atom
**Final energy**: -34.45 eV per formula unit
**V**: 112.4 Å³/cell

Cell and atoms, written as POSCAR:
```
Na2CuH6Pt
1.0
-3.790 1.152 -3.016
-0.556 -4.934 -1.187
-2.549 1.976 3.958
H Cu Pt Na
6 1 1 2
direct
0.222 0.849 0.698
0.222 0.302 0.151
0.778 0.698 0.849
0.222 0.849 0.151
0.778 0.151 0.849
0.778 0.151 0.302
0.500 0.000 0.000
0.000 0.000 0.000
0.771 0.667 0.333
0.229 0.333 0.667
```

***

Number 1: size of the total moment 0.118 μB per formula unit. Number 2: size of the total moment 1.000 μB per formula unit. Number 3: size of the total moment 0.000 μB per formula unit. Number 4: size of the total moment 1.069 μB per formula unit. Number 5: size of the total moment 1.943 μB per formula unit. Number 6: size of the total moment 1.014 μB per formula unit. Number 7: size of the total moment 1.034 μB per formula unit. Number 8: size of the total moment 2.017 μB per formula unit. Number 9: size of the total moment 0.000 μB per formula unit. Number 10: size of the total moment 0.000 μB per formula unit. Number 11: size of the total moment 0.000 μB per formula unit. Number 12: size of the total moment 0.000 μB per formula unit.